DFT (PBE) results for a geometry-optimized Tb3I3N structure.

The value obtained for the magnetization is 0.00 μB per formula unit.

It has space group R-3 (No. 148, hexagonal axes), with a = 6.6971 Å, b = 6.6971 Å, c = 33.5758 Å, α = 90.00°, β = 90.00° and γ = 120.00°. The inequivalent atoms are Tb at (0.0000, 0.3547, 0.0389), I at (0.0000, 0.3278, 0.8973) and N at (0.0000, 0.0000, 0.3333).

=====

DFT (PBE) results for a geometry-optimized TbIN structure.

The value obtained for the magnetization is 0.58 μB per formula unit.

It has space group Cmcm (No. 63), with a = 6.2215 Å, b = 12.8272 Å, c = 4.2687 Å, α = 90.00°, β = 90.00° and γ = 90.00°. The inequivalent atoms are Tb at (0.0000, 0.1103, 0.2500), I at (0.0000, 0.3260, 0.7500) and N at (0.0000, 0.0604, 0.7500).

=====

| no. | raw formation energy (eV/atom) | N(E_F) (states/eV/cell) |
| --- | --- | --- |
| 1 | -1.2247 | 18.42 |
| 2 | -0.7964 | 3.69 |